(1)
A relaxed Li2CdCl crystal, computed with PBE.

Its total energy is -1.894 eV per atom. Its energy above the most stable polymorph in this dataset is 626 meV/atom. The calculated volume is 385 Å³ per cell.

It has space group F-43m (No. 216), with a = 7.273 Å, b = 7.273 Å, c = 7.273 Å, α = 90.00°, β = 90.00° and γ = 90.00°. The asymmetric unit holds Li at (0.000, 0.000, 0.000), Li at (0.250, 0.250, 0.250), Cd at (0.000, 0.000, 0.500) and Cl at (0.250, 0.250, 0.750).

(2)
A relaxed PmTiCd2 crystal, computed with PBE.

Its total energy is -3.680 eV per atom. The formation energy comes out at -61 meV/atom. The calculated volume is 92 Å³ per cell.

It has space group P4/mmm (No. 123), with a = 3.498 Å, b = 3.498 Å, c = 7.555 Å, α = 90.00°, β = 90.00° and γ = 90.00°. The asymmetric unit holds Pm at (0.000, 0.000, 0.000), Ti at (0.000, 0.000, 0.500) and Cd at (0.500, 0.500, 0.291).

(3)
A relaxed Nb2OsPd crystal, computed with PBE.

Its total energy is -8.830 eV per atom. The formation energy comes out at 311 meV/atom. The calculated volume is 287 Å³ per cell.

It has space group I-42d (No. 122), with a = 7.183 Å, b = 7.183 Å, c = 5.558 Å, α = 90.00°, β = 90.00° and γ = 90.00°. The asymmetric unit holds Nb at (0.234, 0.250, 0.125), Os at (0.000, 0.000, 0.000) and Pd at (0.000, 0.000, 0.500).

What is the calculated volume in the first record?
385 Å³ per cell

Among the records above, which one has the lowest calculated volume?
PmTiCd2